VASP calculation (PBE+U) on crystalline Al4CoB2O10 at its relaxed geometry.

```
Al4CoB2O10
1.0
-3.272 2.465 -1.605
-3.605 -6.018 -1.894
-5.596 -2.634 7.363
O Al B Co
20 8 4 2
Cartesian
-7.042 -6.288 2.107
-6.034 -2.340 0.158
-7.626 -3.867 1.179
-3.371 -2.733 0.157
-8.160 -5.915 4.440
-10.758 -4.932 4.697
-5.514 -2.087 4.931
-9.101 -3.454 3.707
-6.439 -3.848 3.706
-1.714 -1.255 -0.833
-5.430 0.100 1.756
-4.846 -2.321 2.685
-4.312 -0.273 -0.576
-2.667 -0.806 1.274
-6.959 -4.101 -1.068
-4.474 -4.798 -1.686
-7.999 -1.390 5.550
-5.310 -4.637 0.784
-7.163 -1.551 3.080
-9.805 -5.381 2.590
-7.838 -4.814 2.819
-2.532 0.509 -0.153
-4.635 -1.374 1.044
-6.929 0.397 2.744
-9.940 -6.697 4.016
-5.543 -6.585 1.119
-8.925 -1.567 3.994
-3.547 -4.621 -0.130
-2.115 -1.969 0.429
-6.390 -3.783 0.327
-6.082 -2.405 3.537
-10.357 -4.219 3.435
-4.600 -4.326 2.734
-3.438 -1.777 -1.750
```

## Properties
**Crystal system**: monoclinic
**Space group**: P2_1/c
**Total energy**: -7.50 eV per atom

VASP calculation (PBE+U) on crystalline AlCoB2O at its relaxed geometry.

```
AlCoB2O
1.0
3.513 0.000 0.000
0.000 4.752 0.000
0.000 0.000 3.513
B O Al Co
2 1 1 1
Cartesian
1.756 0.000 0.000
0.000 0.000 1.756
1.756 2.376 1.756
0.000 2.376 0.000
0.000 0.000 0.000
```

## Properties
**Crystal system**: tetragonal
**Space group**: P4/mmm
**Total energy**: -4.80 eV per atom

The highest total energy belongs to which entry?
AlCoB2O

Which value of total energy does entry 1 give?
-7.50 eV per atom